Here is a crystal of CaCu2 relaxed with PBEsol from the Alexandria database. Energies are from SCAN.

As for the total magnetization: 0.0 Bohr magnetons per cell. The space-group type is P6_3/mmc, No. 194. For the density of states at the Fermi level, the calculation gives 0.54 states/eV per atom. The volume comes out at 199.49 Å³/cell. The total DFT energy (no corrections) comes out at -13.456 eV per atom. The energy relative to the elements comes out at -0.102 eV/atom.

a = 5.2419 Å, b = 5.2419 Å, c = 8.3832 Å
α = 90.00°, β = 90.00°, γ = 120.00°
Last column: nearest neighbours and their distance in Å.
Positions (direct):
Ca  0.6667  0.3333  0.9407  12 Cu 3.02-3.07, 4 Ca 3.19-3.20
Ca  0.3333  0.6667  0.0593  12 Cu 3.02-3.07, 4 Ca 3.19-3.20
Ca  0.6667  0.3333  0.5593  12 Cu 3.02-3.07, 4 Ca 3.19-3.20
Cu  0.1632  0.3264  0.7500  6 Cu 2.57-2.68
Cu  0.8368  0.6736  0.2500  6 Cu 2.57-2.68
Cu  0.8368  0.1632  0.2500  6 Cu 2.57-2.68
Cu  0.3264  0.1632  0.2500  6 Cu 2.57-2.68
Cu  0.1632  0.8368  0.7500  6 Cu 2.57-2.68
Cu  0.6736  0.8368  0.7500  6 Cu 2.57-2.68
Cu  0.0000  0.0000  0.0000  6 Cu 2.57
Cu  0.0000  0.0000  0.5000  6 Cu 2.57
Ca  0.3333  0.6667  0.4407  12 Cu 3.02-3.07, 4 Ca 3.19-3.20